Entry 1:
# Ta2Te2Cl (PBE, optimized geometry)
data_Ta2Te2Cl
_chemical_formula_sum 'Ta4 Te4 Cl2'
_space_group_name_H-M_alt 'I 4/m m m'
_space_group_IT_number 139
_space_group_name_Hall '-I 4 2'
_cell_length_a 5.5802
_cell_length_b 5.5802
_cell_length_c 7.8284
_cell_angle_alpha 90.00
_cell_angle_beta 90.00
_cell_angle_gamma 90.00
loop_
_atom_site_label
_atom_site_type_symbol
_atom_site_fract_x
_atom_site_fract_y
_atom_site_fract_z
Ta1 Ta 0.0000 0.0000 0.1652
Te1 Te 0.0000 0.5000 0.2500
Cl1 Cl 0.0000 0.0000 0.5000
# total DFT energy (no corrections)	-0.453	Ry/atom
# polymorph energy (0 for the lowest one)	2.49	kcal/mol of atoms
# ΔE_f (raw)	20	kJ/mol of atoms



Entry 2:
# Co2SnN (PBE, optimized geometry)
data_Co2SnN
_chemical_formula_sum 'Co8 Sn4 N4'
_space_group_name_H-M_alt 'I -4 2 d'
_space_group_IT_number 122
_space_group_name_Hall 'I -4 2bw'
_cell_length_a 5.1366
_cell_length_b 5.1366
_cell_length_c 8.7886
_cell_angle_alpha 90.00
_cell_angle_beta 90.00
_cell_angle_gamma 90.00
loop_
_atom_site_label
_atom_site_type_symbol
_atom_site_fract_x
_atom_site_fract_y
_atom_site_fract_z
Co1 Co 0.1195 0.2500 0.1250
Sn1 Sn 0.0000 0.0000 0.5000
N1 N 0.0000 0.0000 0.0000
# total DFT energy (no corrections)	-0.477	Ry/atom
# polymorph energy (0 for the lowest one)	0.00	kcal/mol of atoms
# ΔE_f (raw)	14	kJ/mol of atoms



Entry 3:
# Ba2Sb2Pt (PBE, optimized geometry)
data_Ba2Sb2Pt
_chemical_formula_sum 'Ba4 Sb4 Pt2'
_space_group_name_H-M_alt 'I 4/m m m'
_space_group_IT_number 139
_space_group_name_Hall '-I 4 2'
_cell_length_a 6.8239
_cell_length_b 6.8239
_cell_length_c 8.3097
_cell_angle_alpha 90.00
_cell_angle_beta 90.00
_cell_angle_gamma 90.00
loop_
_atom_site_label
_atom_site_type_symbol
_atom_site_fract_x
_atom_site_fract_y
_atom_site_fract_z
Ba1 Ba 0.0000 0.5000 0.2500
Sb1 Sb 0.0000 0.0000 0.1847
Pt1 Pt 0.0000 0.0000 0.5000
# total DFT energy (no corrections)	-0.303	Ry/atom
# polymorph energy (0 for the lowest one)	10.30	kcal/mol of atoms
# ΔE_f (raw)	-48	kJ/mol of atoms



Entry 4:
# CsRhSe2Br (PBE, optimized geometry)
data_CsRhSe2Br
_chemical_formula_sum 'Cs1 Rh1 Se2 Br1'
_space_group_name_H-M_alt 'P 4/m m m'
_space_group_IT_number 123
_space_group_name_Hall '-P 4 2'
_cell_length_a 4.9751
_cell_length_b 4.9751
_cell_length_c 5.7091
_cell_angle_alpha 90.00
_cell_angle_beta 90.00
_cell_angle_gamma 90.00
loop_
_atom_site_label
_atom_site_type_symbol
_atom_site_fract_x
_atom_site_fract_y
_atom_site_fract_z
Cs1 Cs 0.0000 0.0000 0.0000
Rh1 Rh 0.5000 0.5000 0.5000
Se1 Se 0.0000 0.5000 0.5000
Br1 Br 0.5000 0.5000 0.0000
# total DFT energy (no corrections)	-0.278	Ry/atom
# polymorph energy (0 for the lowest one)	0.00	kcal/mol of atoms
# ΔE_f (raw)	-40	kJ/mol of atoms



Entry 5:
# Tm6Cd3Tc (PBE, optimized geometry)
data_Tm6Cd3Tc
_chemical_formula_sum 'Tm12 Cd6 Tc2'
_space_group_name_H-M_alt 'P 1 21/m 1'
_space_group_IT_number 11
_cell_length_a 9.0327
_cell_length_b 5.2272
_cell_length_c 11.2177
_cell_angle_alpha 90.00
_cell_angle_beta 108.63
_cell_angle_gamma 90.00
loop_
_space_group_symop_operation_xyz
'x,y,z'
'-x,-y,-z'
'-x,y+1/2,-z'
'x,-y+1/2,z'
loop_
_atom_site_label
_atom_site_type_symbol
_atom_site_fract_x
_atom_site_fract_y
_atom_site_fract_z
Tm1 Tm 0.0352 0.2500 0.4137
Tm2 Tm 0.1902 0.7500 0.1686
Tm3 Tm 0.2836 0.2500 0.0067
Tm4 Tm 0.3479 0.7500 0.8309
Tm5 Tm 0.3792 0.2500 0.3407
Tm6 Tm 0.3922 0.2500 0.6461
Cd1 Cd 0.0117 0.7500 0.8734
Cd2 Cd 0.0918 0.2500 0.7208
Cd3 Cd 0.2713 0.7500 0.4734
Tc1 Tc 0.4632 0.7500 0.0987
# total DFT energy (no corrections)	-0.309	Ry/atom
# DFT formation energy	-209	meV per atom



Entry 6:
# Ag2HgOs (PBE, optimized geometry)
data_Ag2HgOs
_chemical_formula_sum 'Ag4 Hg2 Os2'
_space_group_name_H-M_alt 'C m m m'
_space_group_IT_number 65
_space_group_name_Hall '-C 2 2'
_cell_length_a 2.9313
_cell_length_b 4.8040
_cell_length_c 10.0827
_cell_angle_alpha 90.00
_cell_angle_beta 90.00
_cell_angle_gamma 90.00
loop_
_atom_site_label
_atom_site_type_symbol
_atom_site_fract_x
_atom_site_fract_y
_atom_site_fract_z
Ag1 Ag 0.0000 0.0000 0.2389
Hg1 Hg 0.0000 0.5000 0.5000
Os1 Os 0.0000 0.5000 0.0000
# total DFT energy (no corrections)	-0.276	Ry/atom
# DFT formation energy	559	meV per atom



The highest total DFT energy (no corrections) belongs to which entry? Ag2HgOs



The highest total DFT energy (no corrections) belongs to which entry? Ag2HgOs



Which of these has the lowest total DFT energy (no corrections)? Co2SnN



What is the total DFT energy (no corrections) in the first record? -0.453 Ry/atom